Record 1
## KMgMn (PBE-GGA)

Data for a geometry-optimized KMgMn structure.

```
KMgMn
1.0
7.827 0.000 0.000
0.000 7.827 0.000
0.000 0.000 7.827
K Mg Mn
4 4 4
Direct
0.000 0.000 0.000 K
0.000 0.500 0.500 K
0.500 0.000 0.500 K
0.500 0.500 0.000 K
0.250 0.250 0.750 Mg
0.250 0.750 0.250 Mg
0.750 0.250 0.250 Mg
0.750 0.750 0.750 Mg
0.250 0.250 0.250 Mn
0.250 0.750 0.750 Mn
0.750 0.250 0.750 Mn
0.750 0.750 0.250 Mn
```

Calculated values
Space group = F-43m (216)
DFT formation energy = 117.1 kJ/mol of atoms
Total magnetization = 17.86 μB per cell
Relative energy among the computed polymorphs = 623 meV/atom

---

Record 2
## Na2As2PdPt (PBE-GGA)

Data for a geometry-optimized Na2As2PdPt structure.

```
Na2As2PdPt
1.0
-3.096 6.498 3.158
3.096 -6.498 3.158
3.096 6.498 -3.158
Na As Pd Pt
4 4 2 2
Direct
0.168 0.247 0.415 Na
0.332 0.747 0.079 Na
0.668 0.253 0.921 Na
0.832 0.753 0.585 Na
0.098 0.744 0.843 As
0.402 0.244 0.646 As
0.598 0.756 0.354 As
0.902 0.256 0.157 As
0.250 0.250 0.000 Pd
0.750 0.750 0.000 Pd
0.250 0.750 0.500 Pt
0.750 0.250 0.500 Pt
```

Calculated values
Space group = Ibam (72)
DFT formation energy = -39.5 kJ/mol of atoms
Total magnetization = 0.00 μB per cell

---

Record 3
## MgTi3Te (PBE-GGA)

Data for a geometry-optimized MgTi3Te structure.

```
MgTi3Te
1.0
5.014 0.000 0.000
0.000 5.014 0.000
0.000 0.000 5.014
Mg Ti Te
1 3 1
Direct
0.000 0.000 0.000 Mg
0.000 0.500 0.500 Ti
0.500 0.000 0.500 Ti
0.500 0.500 0.000 Ti
0.500 0.500 0.500 Te
```

Calculated values
Space group = Pm-3m (221)
Total magnetization = 0.00 μB per cell
E_form (uncorrected) = 636 meV/atom
Relative energy among the computed polymorphs = 0 meV/atom

---

Record 4
## La2HfZrV (PBE-GGA)

Data for a geometry-optimized La2HfZrV structure.

```
La2HfZrV
1.0
5.281 0.000 0.000
0.000 5.281 0.000
0.000 0.000 5.060
La Hf Zr V
2 1 1 1
Direct
0.000 0.500 0.000 La
0.500 0.000 0.000 La
0.000 0.000 0.500 Hf
0.500 0.500 0.500 Zr
0.000 0.000 0.000 V
```

Calculated values
Space group = P4/mmm (123)
DFT formation energy = 73.1 kJ/mol of atoms
Total magnetization = 0.00 μB per cell

---

| no. | total DFT energy (no corrections) (eV per formula unit) |
| --- | --- |
| 1 | -8.22 |
| 2 | -25.63 |
| 3 | -25.24 |
| 4 | -33.69 |